(1)
Below is an optimized crystal structure of Ti2InCo, with properties calculated at the PBE-GGA level.

Summary:
M_tot (μB/atom): 0.00
V (Å³/cell): 138
Calculated formation energy (eV/atom): 0.090
Space-group type: I-42d (122)
Calculated total energy (eV/atom): -6.32

Cell lengths 5.735, 5.735, 5.735 Å; angles 102.84, 102.84, 123.74 degrees
Atoms (fractional coordinates):
Ti: 0.064 0.625 0.939
Ti: 0.375 0.314 0.439
Ti: 0.686 0.125 0.061
Ti: 0.875 0.936 0.561
In: 0.250 0.750 0.500
In: 0.500 0.500 0.000
Co: 0.000 0.000 0.000
Co: 0.750 0.250 0.500



(2)
Below is an optimized crystal structure of Pm4GeAs2Cl, with properties calculated at the PBE-GGA level.

Summary:
M_tot (μB/atom): 0.00
V (Å³/cell): 212
ΔE_f (raw) (eV per atom): -1.42
Space-group type: I4/mmm (139)
Calculated total energy (eV/atom): -5.76

Cell lengths 7.318, 7.318, 7.318 Å; angles 132.08, 132.08, 70.10 degrees
Atoms (fractional coordinates):
Pm: 0.000 0.500 0.500
Pm: 0.243 0.243 0.000
Pm: 0.500 0.000 0.500
Pm: 0.757 0.757 0.000
Ge: 0.000 0.000 0.000
As: 0.250 0.750 0.500
As: 0.750 0.250 0.500
Cl: 0.500 0.500 0.000



(3)
Below is an optimized crystal structure of TbFeNiGe2, with properties calculated at the PBE-GGA level.

Summary:
M_tot (μB/atom): 0.00
V (Å³/cell): 81
Calculated formation energy (eV/atom): -0.565
Space-group type: I-4m2 (119)
Calculated total energy (eV/atom): -6.19

Cell lengths 5.832, 5.832, 5.832 Å; angles 140.17, 140.17, 57.60 degrees
Atoms (fractional coordinates):
Tb: 0.000 0.000 0.000
Fe: 0.750 0.250 0.500
Ni: 0.250 0.750 0.500
Ge: 0.373 0.373 0.000
Ge: 0.627 0.627 0.000



(4)
Below is an optimized crystal structure of YAgN2F, with properties calculated at the PBE-GGA level.

Summary:
M_tot (μB/atom): 0.00
V (Å³/cell): 69
ΔE_f (raw) (eV per atom): 0.08
Space-group type: P4/mmm (123)
Calculated total energy (eV/atom): -5.49

Cell lengths 4.090, 4.090, 4.129 Å; angles 90.00, 90.00, 90.00 degrees
Atoms (fractional coordinates):
Y: 0.000 0.000 0.000
Ag: 0.500 0.500 0.500
N: 0.000 0.500 0.500
N: 0.500 0.000 0.500
F: 0.500 0.500 0.000



(5)
Below is an optimized crystal structure of Y6PtRh5, with properties calculated at the PBE-GGA level.

Summary:
M_tot (μB/atom): 0.00
V (Å³/cell): 246
Calculated formation energy (eV/atom): -0.904
Space-group type: P2/m (10)
Calculated total energy (eV/atom): -7.70

Cell lengths 4.842, 6.993, 7.656 Å; angles 90.00, 108.30, 90.00 degrees
Atoms (fractional coordinates):
Y: 0.000 0.248 0.000
Y: 0.000 0.752 0.000
Y: 0.332 0.249 0.665
Y: 0.332 0.751 0.665
Y: 0.668 0.249 0.335
Y: 0.668 0.751 0.335
Pt: 0.500 0.500 0.000
Rh: 0.166 0.000 0.332
Rh: 0.168 0.500 0.336
Rh: 0.500 0.000 0.000
Rh: 0.832 0.500 0.664
Rh: 0.834 0.000 0.668



(6)
Below is an optimized crystal structure of NaNb3Se, with properties calculated at the PBE-GGA level.

Summary:
M_tot (μB/atom): 0.00
V (Å³/cell): 114
ΔE_f (raw) (eV per atom): 0.82
Space-group type: Pm-3m (221)
Calculated total energy (eV/atom): -6.18

Cell lengths 4.851, 4.851, 4.851 Å; angles 90.00, 90.00, 90.00 degrees
Atoms (fractional coordinates):
Na: 0.000 0.000 0.000
Nb: 0.000 0.500 0.500
Nb: 0.500 0.000 0.500
Nb: 0.500 0.500 0.000
Se: 0.500 0.500 0.500